Record 1
Here is BaTl12In6 after structural relaxation from Alexandria. Energies are from PBE.

Properties
- Fermi-level density of states (states/eV/cell) = 10.2
- SG = R-3m, No. 166
- formation enthalpy at 0 K (kJ per mole of atoms) = 2.1
- density (Mg/m³) = 8.74

The structure in POSCAR format:
```
BaTl12In6
1.0
-1.822 6.466 -5.925
-7.948 -3.447 2.277
2.937 4.243 7.322
In Tl Ba
6 12 1
Cartesian
-2.802 4.818 -1.300
-5.291 0.790 2.033
-4.032 2.444 4.973
-5.965 3.348 -0.410
-0.868 3.915 4.083
-1.543 6.472 1.640
0.802 6.612 3.792
-5.261 4.493 -3.298
-1.042 7.474 -1.343
-3.298 1.677 -0.437
-2.117 1.125 2.852
-4.717 6.138 0.821
-6.238 3.677 2.858
-5.792 -0.211 5.016
-0.596 3.586 0.816
-1.572 2.770 6.972
-7.636 0.650 -0.119
-3.536 5.586 4.110
0.000 0.000 0.000
```

***

Record 2
Here is MgTl2Re after structural relaxation from Alexandria. Energies are from PBE.

Properties
- Fermi-level density of states (states/eV/cell) = 1.9
- SG = Cmm2, No. 35
- E above lowest polymorph (meV/atom) = 3
- formation enthalpy at 0 K (kJ per mole of atoms) = 57.1
- density (Mg/m³) = 11.08

The structure in POSCAR format:
```
MgTl2Re
1.0
2.932 0.054 0.000
-0.727 2.841 0.000
0.000 0.000 11.088
Mg Tl Re
1 2 1
Cartesian
0.000 0.000 5.966
0.000 0.000 10.550
1.102 1.448 3.177
1.102 1.448 8.026
```

***

Record 3
Here is AlBPb3 after structural relaxation from Alexandria. Energies are from PBE.

Properties
- Fermi-level density of states (states/eV/cell) = 5.0
- SG = Pm-3m, No. 221
- E above lowest polymorph (meV/atom) = 541
- formation enthalpy at 0 K (kJ per mole of atoms) = 126.6
- density (Mg/m³) = 6.87

The structure in POSCAR format:
```
AlBPb3
1.0
5.421 0.000 0.000
0.000 5.421 0.000
0.000 0.000 5.421
B Pb Al
1 3 1
Cartesian
2.710 2.710 2.710
2.710 0.000 0.000
0.000 2.710 0.000
0.000 0.000 2.710
0.000 0.000 0.000
```

***

Record 4
Here is Ca2Ag3 after structural relaxation from Alexandria. Energies are from PBE.

Properties
- Fermi-level density of states (states/eV/cell) = 4.9
- SG = Cmce, No. 64
- E above lowest polymorph (meV/atom) = 0
- formation enthalpy at 0 K (kJ per mole of atoms) = -26.7
- density (Mg/m³) = 5.33

The structure in POSCAR format:
```
Ca2Ag3
1.0
5.858 0.000 0.000
-2.929 4.975 0.000
0.000 0.000 8.625
Ca Ag
4 6
Cartesian
0.000 3.394 0.827
2.929 3.394 3.486
2.929 1.581 7.798
0.000 1.581 5.140
4.393 0.992 2.156
2.929 0.000 4.313
1.464 0.992 2.156
1.464 3.983 6.469
0.000 0.000 0.000
-1.464 3.983 6.469
```

***

Record 5
Here is Ca2AsPt after structural relaxation from Alexandria. Energies are from PBE.

Properties
- Fermi-level density of states (states/eV/cell) = 5.4
- SG = P2_1/m, No. 11
- formation enthalpy at 0 K (kJ per mole of atoms) = -94.1
- density (Mg/m³) = 6.02

The structure in POSCAR format:
```
Ca2AsPt
1.0
4.375 0.000 0.000
0.000 5.700 -0.114
0.000 -2.994 7.805
Ca As Pt
4 2 2
Cartesian
3.281 0.007 3.231
3.281 -1.597 7.292
1.094 4.303 0.399
1.094 2.699 4.460
3.281 2.825 2.195
1.094 -0.119 5.496
1.094 1.527 1.672
3.281 1.179 6.019
```

***

Record 6
Here is InSe2SF after structural relaxation from Alexandria. Energies are from PBE.

Properties
- Fermi-level density of states (states/eV/cell) = 4.3
- SG = P4/mmm, No. 123
- E above lowest polymorph (meV/atom) = 0
- density (Mg/m³) = 3.63
- energy relative to the elements, uncorrected (meV per atom) = 46

The structure in POSCAR format:
```
InSe2SF
1.0
4.691 0.000 0.000
0.000 6.738 0.000
0.000 0.000 4.691
F In S Se
1 1 1 2
Cartesian
2.346 3.369 2.346
0.000 3.369 0.000
0.000 0.000 0.000
0.000 0.000 2.346
2.346 0.000 0.000
```

***

Please write out number 2 again, unchanged.
Here is MgTl2Re after structural relaxation from Alexandria. Energies are from PBE.

Properties
- Fermi-level density of states (states/eV/cell) = 1.9
- SG = Cmm2, No. 35
- E above lowest polymorph (meV/atom) = 3
- formation enthalpy at 0 K (kJ per mole of atoms) = 57.1
- density (Mg/m³) = 11.08

The structure in POSCAR format:
```
MgTl2Re
1.0
2.932 0.054 0.000
-0.727 2.841 0.000
0.000 0.000 11.088
Mg Tl Re
1 2 1
Cartesian
0.000 0.000 5.966
0.000 0.000 10.550
1.102 1.448 3.177
1.102 1.448 8.026
```